Record 1
Computed, not measured: a relaxed structure of ZnPd2C at the PBE level of DFT.

abc: 5.9216 5.9216 5.9216
angles: 90.00 90.00 90.00
Last column: nearest neighbours and their distance in Å.
Fractional positions:
Zn (0.0000, 0.0000, 0.0000)  8 Pd 2.56
Zn (0.0000, 0.5000, 0.5000)  8 Pd 2.56
Zn (0.5000, 0.0000, 0.5000)  8 Pd 2.56
Zn (0.5000, 0.5000, 0.0000)  8 Pd 2.56
Pd (0.2500, 0.2500, 0.2500)  4 C 2.56, 4 Zn 2.56
Pd (0.2500, 0.2500, 0.7500)  4 C 2.56, 4 Zn 2.56
Pd (0.2500, 0.7500, 0.2500)  4 C 2.56, 4 Zn 2.56
Pd (0.2500, 0.7500, 0.7500)  4 C 2.56, 4 Zn 2.56
Pd (0.7500, 0.2500, 0.2500)  4 C 2.56, 4 Zn 2.56
Pd (0.7500, 0.2500, 0.7500)  4 C 2.56, 4 Zn 2.56
Pd (0.7500, 0.7500, 0.2500)  4 C 2.56, 4 Zn 2.56
Pd (0.7500, 0.7500, 0.7500)  4 Zn 2.56, 4 C 2.56
C (0.0000, 0.0000, 0.5000)  8 Pd 2.56
C (0.0000, 0.5000, 0.0000)  8 Pd 2.56
C (0.5000, 0.0000, 0.0000)  8 Pd 2.56
C (0.5000, 0.5000, 0.5000)  8 Pd 2.56

## Properties
ρ: 9.3 g/cm3
total energy: -4.360 eV/atom
ΔE_f: 83 kJ/mol of atoms
E above lowest polymorph: 297.9 meV/atom
space-group type: Fm-3m, No. 225


Record 2
Computed, not measured: a relaxed structure of ZnPdC3 at the PBE level of DFT.

abc: 4.0508 4.0508 4.0508
angles: 90.00 90.00 90.00
Last column: nearest neighbours and their distance in Å.
Fractional positions:
Zn (0.0000, 0.0000, 0.0000)  12 C 2.86
Pd (0.5000, 0.5000, 0.5000)  6 C 2.03
C (0.0000, 0.5000, 0.5000)  2 Pd 2.03
C (0.5000, 0.0000, 0.5000)  2 Pd 2.03
C (0.5000, 0.5000, 0.0000)  2 Pd 2.03

## Properties
ρ: 5.2 g/cm3
total energy: -4.172 eV/atom
ΔE_f: 256 kJ/mol of atoms
E above lowest polymorph: 0.0 meV/atom
space-group type: Pm-3m, No. 221


Record 3
Computed, not measured: a relaxed structure of Zn2PdC at the PBE level of DFT.

abc: 4.6851 4.6851 11.8387
angles: 90.00 90.00 90.00
Last column: nearest neighbours and their distance in Å.
Fractional positions:
Zn (0.1168, 0.2500, 0.1250)  2 C 1.96
Zn (0.2500, 0.6168, 0.3750)  2 C 1.96
Zn (0.2500, 0.8832, 0.8750)  2 C 1.96
Zn (0.3832, 0.2500, 0.6250)  2 C 1.96
Zn (0.6168, 0.7500, 0.6250)  2 C 1.96
Zn (0.7500, 0.1168, 0.8750)  2 C 1.96
Zn (0.7500, 0.3832, 0.3750)  2 C 1.96
Zn (0.8832, 0.7500, 0.1250)  2 C 1.96
Pd (0.0000, 0.0000, 0.5000)  4 Zn 2.60
Pd (0.0000, 0.5000, 0.7500)  4 Zn 2.60
Pd (0.5000, 0.0000, 0.2500)  4 Zn 2.60
Pd (0.5000, 0.5000, 0.0000)  4 Zn 2.60
C (0.0000, 0.0000, 0.0000)  4 Zn 1.96
C (0.0000, 0.5000, 0.2500)  4 Zn 1.96
C (0.5000, 0.0000, 0.7500)  4 Zn 1.96
C (0.5000, 0.5000, 0.5000)  4 Zn 1.96

## Properties
ρ: 6.4 g/cm3
total energy: -3.437 eV/atom
ΔE_f: 78 kJ/mol of atoms
space-group type: I-42d, No. 122


Record 4
Computed, not measured: a relaxed structure of Zr4Pd2C at the PBE level of DFT.

abc: 4.4971 4.4971 13.4802
angles: 90.00 90.00 90.00
Last column: nearest neighbours and their distance in Å.
Fractional positions:
Zr (0.0000, 0.0000, 0.1748)  1 C 2.36, 1 Pd 2.58
Zr (0.0000, 0.0000, 0.8252)  1 C 2.36, 1 Pd 2.58
Zr (0.0000, 0.5000, 0.0000)  2 C 2.25
Zr (0.0000, 0.5000, 0.5000)  2 C 2.25
Zr (0.5000, 0.0000, 0.0000)  2 C 2.25
Zr (0.5000, 0.0000, 0.5000)  2 C 2.25
Zr (0.5000, 0.5000, 0.3252)  1 C 2.36, 1 Pd 2.58
Zr (0.5000, 0.5000, 0.6748)  1 C 2.36, 1 Pd 2.58
Pd (0.0000, 0.0000, 0.3660)  5 Zr 2.58-2.88
Pd (0.0000, 0.0000, 0.6340)  5 Zr 2.58-2.88
Pd (0.5000, 0.5000, 0.1340)  5 Zr 2.58-2.88
Pd (0.5000, 0.5000, 0.8660)  5 Zr 2.58-2.88
C (0.0000, 0.0000, 0.0000)  6 Zr 2.25-2.36
C (0.5000, 0.5000, 0.5000)  6 Zr 2.25-2.36

## Properties
ρ: 7.2 g/cm3
total energy: -8.130 eV/atom
ΔE_f: -43 kJ/mol of atoms
E above lowest polymorph: 0.0 meV/atom
space-group type: I4/mmm, No. 139


Record 5
Computed, not measured: a relaxed structure of ZrPdC at the PBE level of DFT.

abc: 8.6357 3.5203 6.7948
angles: 90.00 125.77 90.00
Last column: nearest neighbours and their distance in Å.
Fractional positions:
Zr (0.0706, 0.0000, 0.3128)  3 C 2.38-2.45
Zr (0.4294, 0.5000, 0.6872)  3 C 2.38-2.45
Zr (0.5706, 0.5000, 0.3128)  3 C 2.38-2.45
Zr (0.9294, 0.0000, 0.6872)  3 C 2.38-2.45
Pd (0.1948, 0.5000, 0.1147)  2 C 2.53, 3 Zr 2.69-2.78, 1 Pd 2.76
Pd (0.3052, 0.0000, 0.8853)  2 C 2.53, 3 Zr 2.69-2.78, 1 Pd 2.76
Pd (0.6948, 0.0000, 0.1147)  2 C 2.53, 3 Zr 2.69-2.78, 1 Pd 2.76
Pd (0.8052, 0.5000, 0.8853)  2 C 2.53, 3 Zr 2.69-2.78, 1 Pd 2.76
C (0.1021, 0.5000, 0.5690)  1 C 1.43
C (0.3979, 0.0000, 0.4310)  1 C 1.43
C (0.6021, 0.0000, 0.5690)  1 C 1.43
C (0.8979, 0.5000, 0.4310)  1 C 1.43

## Properties
ρ: 8.3 g/cm3
total energy: -7.980 eV/atom
ΔE_f: -31 kJ/mol of atoms
space-group type: C2/m, No. 12


Record 6
Computed, not measured: a relaxed structure of ZrPdC at the PBE level of DFT.

abc: 14.4469 3.2845 3.4452
angles: 90.00 93.46 90.00
Last column: nearest neighbours and their distance in Å.
Fractional positions:
Zr (0.0895, 0.0000, 0.2106)  6 C 2.41-2.60
Zr (0.4105, 0.5000, 0.7894)  6 C 2.41-2.60
Zr (0.5895, 0.5000, 0.2106)  6 C 2.41-2.60
Zr (0.9105, 0.0000, 0.7894)  6 C 2.41-2.60
Pd (0.1989, 0.5000, 0.7377)  1 C 2.35
Pd (0.3011, 0.0000, 0.2623)  1 C 2.35
Pd (0.6989, 0.0000, 0.7377)  1 C 2.35
Pd (0.8011, 0.5000, 0.2623)  1 C 2.35
C (0.0360, 0.5000, 0.6579)  1 C 1.46
C (0.4640, 0.0000, 0.3421)  1 C 1.46
C (0.5360, 0.0000, 0.6579)  1 C 1.46
C (0.9640, 0.5000, 0.3421)  1 C 1.46

## Properties
ρ: 8.5 g/cm3
total energy: -8.015 eV/atom
ΔE_f: -35 kJ/mol of atoms
space-group type: C2/m, No. 12


Record 7
Computed, not measured: a relaxed structure of Zr3PdC at the PBE level of DFT.

abc: 4.5155 4.5155 4.5155
angles: 90.00 90.00 90.00
Last column: nearest neighbours and their distance in Å.
Fractional positions:
Zr (0.0000, 0.0000, 0.5000)  2 C 2.26
Zr (0.0000, 0.5000, 0.0000)  2 C 2.26
Zr (0.5000, 0.0000, 0.0000)  2 C 2.26
Pd (0.5000, 0.5000, 0.5000)  12 Zr 3.19
C (0.0000, 0.0000, 0.0000)  6 Zr 2.26

## Properties
ρ: 7.1 g/cm3
total energy: -8.481 eV/atom
ΔE_f: -45 kJ/mol of atoms
E above lowest polymorph: 176.3 meV/atom
space-group type: Pm-3m, No. 221


Record 8
Computed, not measured: a relaxed structure of ZrPdC at the PBE level of DFT.

abc: 9.6953 3.3592 7.0423
angles: 90.00 128.68 90.00
Last column: nearest neighbours and their distance in Å.
Fractional positions:
Zr (0.0000, 0.0000, 0.0000)  4 C 2.39-2.41
Zr (0.0766, 0.5000, 0.6567)  3 C 2.26-2.34
Zr (0.5000, 0.5000, 0.0000)  4 C 2.39-2.41
Zr (0.5766, 0.0000, 0.6567)  3 C 2.26-2.34
Pd (0.2674, 0.5000, 0.4283)  2 C 2.22
Pd (0.3438, 0.0000, 0.1616)  1 C 2.15
Pd (0.7674, 0.0000, 0.4283)  2 C 2.22
Pd (0.8438, 0.5000, 0.1616)  1 C 2.15
C (0.2751, 0.0000, 0.8064)  1 C 1.42
C (0.3490, 0.0000, 0.6848)  1 C 1.42
C (0.7751, 0.5000, 0.8064)  1 C 1.42
C (0.8490, 0.5000, 0.6848)  1 C 1.42

## Properties
ρ: 7.8 g/cm3
total energy: -7.909 eV/atom
ΔE_f: -25 kJ/mol of atoms
space-group type: Cm, No. 8


Record 9
Computed, not measured: a relaxed structure of Zr6PdC4 at the PBE level of DFT.

abc: 5.8728 5.8728 17.8080
angles: 90.00 90.00 146.57
Last column: nearest neighbours and their distance in Å.
Fractional positions:
Zr (0.0000, 0.0000, 0.0000)  6 C 2.40-2.41
Zr (0.0000, 0.0000, 0.5000)  6 C 2.40-2.41
Zr (0.1532, 0.8468, 0.7500)  2 C 2.38, 2 Pd 2.66
Zr (0.2754, 0.7246, 0.0774)  5 C 2.29-2.41
Zr (0.2754, 0.7246, 0.4226)  5 C 2.29-2.41
Zr (0.4601, 0.5399, 0.6501)  3 C 2.26-2.29
Zr (0.4601, 0.5399, 0.8499)  3 C 2.26-2.29
Zr (0.5399, 0.4601, 0.1501)  3 C 2.26-2.29
Zr (0.5399, 0.4601, 0.3499)  3 C 2.26-2.29
Zr (0.7246, 0.2754, 0.5774)  5 C 2.29-2.41
Zr (0.7246, 0.2754, 0.9226)  5 C 2.29-2.41
Zr (0.8468, 0.1532, 0.2500)  2 C 2.38, 2 Pd 2.66
Pd (0.1635, 0.8365, 0.2500)  6 Zr 2.66-2.82
Pd (0.8365, 0.1635, 0.7500)  6 Zr 2.66-2.82
C (0.0898, 0.9102, 0.6223)  6 Zr 2.29-2.41
C (0.0898, 0.9102, 0.8777)  6 Zr 2.29-2.41
C (0.3609, 0.6391, 0.5395)  6 Zr 2.26-2.41
C (0.3609, 0.6391, 0.9605)  6 Zr 2.26-2.41
C (0.6391, 0.3609, 0.0395)  6 Zr 2.26-2.41
C (0.6391, 0.3609, 0.4605)  6 Zr 2.26-2.41
C (0.9102, 0.0898, 0.1223)  6 Zr 2.29-2.41
C (0.9102, 0.0898, 0.3777)  6 Zr 2.29-2.41

## Properties
ρ: 6.9 g/cm3
total energy: -9.247 eV/atom
ΔE_f: -73 kJ/mol of atoms
space-group type: Cmcm, No. 63


Record 10
Computed, not measured: a relaxed structure of Zr4Pd2C at the PBE level of DFT.

abc: 6.4189 5.4749 7.5824
angles: 90.00 103.98 90.00
Last column: nearest neighbours and their distance in Å.
Fractional positions:
Zr (0.0439, 0.2500, 0.3673)  1 C 2.20
Zr (0.1473, 0.2500, 0.9615)  1 C 2.23
Zr (0.4341, 0.5013, 0.6957)  1 C 2.31
Zr (0.4341, 0.9987, 0.6957)  1 C 2.31
Zr (0.5659, 0.0013, 0.3043)  1 C 2.31
Zr (0.5659, 0.4987, 0.3043)  1 C 2.31
Zr (0.8527, 0.7500, 0.0385)  1 C 2.23
Zr (0.9561, 0.7500, 0.6327)  1 C 2.20
Pd (0.2038, 0.7500, 0.3450)  1 C 2.18
Pd (0.3030, 0.7500, 0.9897)  8 Zr 2.90-3.06, 1 Pd 2.91
Pd (0.6970, 0.2500, 0.0103)  8 Zr 2.90-3.06, 1 Pd 2.91
Pd (0.7962, 0.2500, 0.6550)  1 C 2.18
C (0.1380, 0.2500, 0.6657)  1 Pd 2.18, 4 Zr 2.20-2.31
C (0.8620, 0.7500, 0.3343)  1 Pd 2.18, 4 Zr 2.20-2.31

## Properties
ρ: 7.6 g/cm3
total energy: -8.045 eV/atom
ΔE_f: -35 kJ/mol of atoms
E above lowest polymorph: 85.0 meV/atom
space-group type: P2_1/m, No. 11